Computed, not measured: an optimized crystal structure of TaTe2Cl at the PBE-GGA level of DFT.

```
4
Lattice="3.2141 0.0000 0.0000 0.0000 3.2141 0.0000 0.0000 0.0000 10.6929" Properties=species:S:1:pos:R:3 pbc="T T T"
Ta 0.0000 0.0000 0.0000
Te 0.0000 0.0000 5.2228
Te 1.6070 1.6070 1.7004
Cl 1.6070 1.6070 9.1118
```

Formation energy from raw total energies = -0.182 eV/atom
Calculated volume = 27.6 Å³/atom
Uncorrected energy = -5.18 eV per atom